1.
! CaNp2P2N6 | Alexandria via LeMat-Bulk | GGA-PBE | relaxed; values from VASP
&SYSTEM
  ibrav = 0, nat = 11, ntyp = 4
/
ATOMIC_SPECIES
Ca 40.08 Ca.upf
Np 237.00 Np.upf
P 30.97 P.upf
N 14.01 N.upf
CELL_PARAMETERS angstrom
5.715 0.000 0.000
-2.858 4.949 0.000
0.000 0.000 5.592
ATOMIC_POSITIONS crystal
Ca 0.000 0.000 0.000
Np 0.333 0.667 0.614
Np 0.667 0.333 0.386
P 0.333 0.667 0.127
P 0.667 0.333 0.873
N 0.060 0.405 0.261
N 0.346 0.940 0.261
N 0.405 0.346 0.739
N 0.595 0.654 0.261
N 0.654 0.060 0.739
N 0.940 0.595 0.739
! spin magnetization	4.12	μB per formula unit
! D(E_F)	12.992	states/eV/cell
! energy relative to the elements, uncorrected	-747	kJ/mol of formula units
! density	6.9	g cm⁻³

2.
! LiTm3Al2 | Alexandria via LeMat-Bulk | GGA-PBE | relaxed; values from VASP
&SYSTEM
  ibrav = 0, nat = 6, ntyp = 3
/
ATOMIC_SPECIES
Li 6.94 Li.upf
Tm 168.93 Tm.upf
Al 26.98 Al.upf
CELL_PARAMETERS angstrom
3.522 0.000 0.000
0.000 3.522 0.000
0.000 0.000 11.156
ATOMIC_POSITIONS crystal
Li 0.000 0.000 0.000
Tm 0.500 0.500 0.179
Tm 0.500 0.500 0.500
Tm 0.500 0.500 0.821
Al 0.000 0.000 0.335
Al 0.000 0.000 0.665
! spin magnetization	0.00	μB per formula unit
! D(E_F)	3.137	states/eV/cell
! distance to the lowest polymorph of the same formula	28	meV per atom
! density	6.8	g cm⁻³

3.
! PuScU2Sb4 | Alexandria via LeMat-Bulk | GGA-PBE | relaxed; values from VASP
&SYSTEM
  ibrav = 0, nat = 8, ntyp = 4
/
ATOMIC_SPECIES
Pu 244.00 Pu.upf
Sc 44.96 Sc.upf
U 238.03 U.upf
Sb 121.76 Sb.upf
CELL_PARAMETERS angstrom
7.491 0.000 0.000
0.000 4.293 0.000
-2.445 0.000 7.191
ATOMIC_POSITIONS crystal
Pu 0.000 0.000 0.000
Sc 0.000 0.500 0.500
U 0.500 0.000 0.500
U 0.500 0.500 0.000
Sb 0.241 0.000 0.739
Sb 0.245 0.500 0.257
Sb 0.755 0.500 0.743
Sb 0.759 0.000 0.261
! spin magnetization	5.52	μB per formula unit
! D(E_F)	24.464	states/eV/cell
! energy relative to the elements, uncorrected	-346	kJ/mol of formula units
! density	9.0	g cm⁻³

4.
! Ba2VB | Alexandria via LeMat-Bulk | GGA-PBE | relaxed; values from VASP
&SYSTEM
  ibrav = 0, nat = 16, ntyp = 3
/
ATOMIC_SPECIES
Ba 137.33 Ba.upf
V 50.94 V.upf
B 10.81 B.upf
CELL_PARAMETERS angstrom
11.666 0.000 0.000
0.000 11.666 0.000
0.000 0.000 4.296
ATOMIC_POSITIONS crystal
Ba 0.066 0.250 0.125
Ba 0.250 0.566 0.375
Ba 0.250 0.934 0.875
Ba 0.434 0.250 0.625
Ba 0.566 0.750 0.625
Ba 0.750 0.066 0.875
Ba 0.750 0.434 0.375
Ba 0.934 0.750 0.125
V 0.000 0.000 0.500
V 0.000 0.500 0.750
V 0.500 0.000 0.250
V 0.500 0.500 0.000
B 0.000 0.000 0.000
B 0.000 0.500 0.250
B 0.500 0.000 0.750
B 0.500 0.500 0.500
! spin magnetization	3.72	μB per formula unit
! D(E_F)	16.286	states/eV/cell
! raw total energy	-4.288	eV per atom
! density	3.8	g cm⁻³